No. 1
Here is a geometry-optimized ZnHgOs2 structure from Alexandria via LeMat-Bulk. Energies are from PBE.

Cell lengths 2.822, 4.778, 9.520 Å; angles 90.00, 90.00, 90.00 degrees
Space group Cmmm (No. 65)
Symmetry-distinct sites (fractional):
Zn: 0.000 0.000 0.000
Hg: 0.000 0.000 0.500
Os: 0.000 0.500 0.230

- formation energy (kJ per mole of atoms) = 66.6

---

No. 2
Here is a geometry-optimized Li2InSb structure from Alexandria via LeMat-Bulk. Energies are from PBE.

Cell lengths 3.740, 4.069, 5.755 Å; angles 90.00, 90.00, 90.00 degrees
Space group Pmm2 (No. 25)
Symmetry-distinct sites (fractional):
Li: 0.000 0.000 0.000
Li: 0.500 0.500 0.271
In: 0.500 0.500 0.770
Sb: 0.000 0.000 0.497

- formation energy from raw total energies (eV per atom) = -0.29

---

No. 3
Here is a geometry-optimized Ca4LaMg structure from Alexandria via LeMat-Bulk. Energies are from PBE.

Cell lengths 9.846, 9.846, 9.846 Å; angles 90.00, 90.00, 90.00 degrees
Space group F-43m (No. 216)
Symmetry-distinct sites (fractional):
Ca: 0.125 0.125 0.125
La: 0.250 0.250 0.750
Mg: 0.000 0.000 0.500

- formation energy (kJ per mole of atoms) = 26.3